Entry A
Density functional theory data (PBE) for a relaxed CrBi3P crystal.

Output
D(E_F)	2.321	states/eV/cell
spin magnetization	0.00	μB per cell
space group	Pm-3m, No. 221

Cell: 5.1071 5.1071 5.1071 Å, 90.00 90.00 90.00°
Last column: nearest neighbours and their distance in Å.
Fractional coordinates of all 5 atoms:
Cr1 0.0000 0.0000 0.0000  6 Bi 2.55
Bi1 0.0000 0.0000 0.5000  2 Cr 2.55
Bi2 0.0000 0.5000 0.0000  2 Cr 2.55
Bi3 0.5000 0.0000 0.0000  2 Cr 2.55
P1 0.5000 0.5000 0.5000  12 Bi 3.61



Entry B
Density functional theory data (PBE) for a relaxed CrBi3P crystal.

Output
D(E_F)	4.070	states/eV/cell
spin magnetization	4.26	μB per cell
space group	Pm-3m, No. 221

Cell: 5.4035 5.4035 5.4035 Å, 90.00 90.00 90.00°
Last column: nearest neighbours and their distance in Å.
Fractional coordinates of all 5 atoms:
Cr1 0.0000 0.0000 0.0000  12 Bi 3.82
Bi1 0.0000 0.5000 0.5000  2 P 2.70
Bi2 0.5000 0.0000 0.5000  2 P 2.70
Bi3 0.5000 0.5000 0.0000  2 P 2.70
P1 0.5000 0.5000 0.5000  6 Bi 2.70



Stability ranking, top entry: entry A; the second entry is 0.120 eV/atom less favorable.



Entry A
Density functional theory data (PBE) for a relaxed CrBiPS2 crystal.

Output
D(E_F)	4.762	states/eV/cell
spin magnetization	2.45	μB per cell
space group	P4/mmm, No. 123

Cell: 4.5834 4.5834 4.7467 Å, 90.00 90.00 90.00°
Last column: nearest neighbours and their distance in Å.
Fractional coordinates of all 5 atoms:
Cr1 0.0000 0.0000 0.0000  4 S 2.29, 2 P 2.37
Bi1 0.5000 0.5000 0.5000  4 P 3.24, 8 S 3.30
P1 0.0000 0.0000 0.5000  2 Cr 2.37
S1 0.0000 0.5000 0.0000  2 Cr 2.29
S2 0.5000 0.0000 0.0000  2 Cr 2.29



Entry B
Density functional theory data (PBE) for a relaxed CrBiPS2 crystal.

Output
D(E_F)	4.174	states/eV/cell
spin magnetization	2.84	μB per cell
space group	P4/mmm, No. 123

Cell: 5.2015 5.2015 5.2995 Å, 90.00 90.00 90.00°
Last column: nearest neighbours and their distance in Å.
Fractional coordinates of all 5 atoms:
Cr1 0.0000 0.0000 0.0000  4 P 3.68, 8 S 3.71
Bi1 0.5000 0.5000 0.5000  4 S 2.60, 2 P 2.65
P1 0.5000 0.5000 0.0000  2 Bi 2.65
S1 0.0000 0.5000 0.5000  2 Bi 2.60
S2 0.5000 0.0000 0.5000  2 Bi 2.60



Stability ranking, top entry: entry A; the second entry is 0.884 eV/atom less favorable.



Entry A
Density functional theory data (PBE) for a relaxed CrBiPd3 crystal.

Output
D(E_F)	2.873	states/eV/cell
spin magnetization	4.71	μB per cell
space group	Pm-3m, No. 221

Cell: 5.0361 5.0361 5.0361 Å, 90.00 90.00 90.00°
Last column: nearest neighbours and their distance in Å.
Fractional coordinates of all 5 atoms:
Cr1 0.0000 0.0000 0.0000  12 Pd 3.56
Bi1 0.5000 0.5000 0.5000  6 Pd 2.52
Pd1 0.0000 0.5000 0.5000  2 Bi 2.52
Pd2 0.5000 0.0000 0.5000  2 Bi 2.52
Pd3 0.5000 0.5000 0.0000  2 Bi 2.52



Entry B
Density functional theory data (PBE) for a relaxed CrBiPd3 crystal.

Output
D(E_F)	6.804	states/eV/cell
spin magnetization	0.00	μB per cell
space group	Pm-3m, No. 221

Cell: 4.6551 4.6551 4.6551 Å, 90.00 90.00 90.00°
Last column: nearest neighbours and their distance in Å.
Fractional coordinates of all 5 atoms:
Cr1 0.0000 0.0000 0.0000  6 Pd 2.33
Bi1 0.5000 0.5000 0.5000  12 Pd 3.29
Pd1 0.0000 0.0000 0.5000  2 Cr 2.33
Pd2 0.0000 0.5000 0.0000  2 Cr 2.33
Pd3 0.5000 0.0000 0.0000  2 Cr 2.33



Stability ranking, top entry: entry B; the second entry is 0.214 eV/atom less favorable.



Entry A
Density functional theory data (PBE) for a relaxed RbCr3Bi crystal.

Output
D(E_F)	1.322	states/eV/cell
spin magnetization	14.19	μB per cell
space group	Pm-3m, No. 221

Cell: 5.5634 5.5634 5.5634 Å, 90.00 90.00 90.00°
Last column: nearest neighbours and their distance in Å.
Fractional coordinates of all 5 atoms:
Rb1 0.0000 0.0000 0.0000  12 Cr 3.93
Cr1 0.0000 0.5000 0.5000  2 Bi 2.78
Cr2 0.5000 0.0000 0.5000  2 Bi 2.78
Cr3 0.5000 0.5000 0.0000  2 Bi 2.78
Bi1 0.5000 0.5000 0.5000  6 Cr 2.78



Entry B
Density functional theory data (PBE) for a relaxed RbCr3Bi crystal.

Output
D(E_F)	3.367	states/eV/cell
spin magnetization	15.31	μB per cell
space group	Pm-3m, No. 221

Cell: 5.5182 5.5182 5.5182 Å, 90.00 90.00 90.00°
Last column: nearest neighbours and their distance in Å.
Fractional coordinates of all 5 atoms:
Rb1 0.0000 0.0000 0.0000  6 Cr 2.76
Cr1 0.0000 0.0000 0.5000  2 Rb 2.76
Cr2 0.0000 0.5000 0.0000  2 Rb 2.76
Cr3 0.5000 0.0000 0.0000  2 Rb 2.76
Bi1 0.5000 0.5000 0.5000  12 Cr 3.90



Stability ranking, top entry: entry A; the second entry is 1.027 eV/atom less favorable.



Entry A
Density functional theory data (PBE) for a relaxed RbCr2Bi2 crystal.

Output
D(E_F)	3.284	states/eV/cell
spin magnetization	0.00	μB per cell
space group	I4/mmm, No. 139

Cell: 5.9609 5.9609 5.9609 Å, 127.97 127.97 76.67°
Last column: nearest neighbours and their distance in Å.
Fractional coordinates of all 5 atoms:
Rb1 0.0000 0.0000 0.0000  8 Bi 3.51, 10 Cr 3.78-3.80
Cr1 0.4039 0.4039 0.0000  1 Cr 1.80
Cr2 0.5961 0.5961 0.0000  1 Cr 1.80
Bi1 0.2500 0.7500 0.5000  4 Cr 2.98
Bi2 0.7500 0.2500 0.5000  4 Cr 2.98



Entry B
Density functional theory data (PBE) for a relaxed RbCr2Bi2 crystal.

Output
D(E_F)	9.326	states/eV/cell
spin magnetization	2.34	μB per cell
space group	P4/mbm, No. 127

Cell: 9.1546 9.1546 3.3900 Å, 90.00 90.00 90.00°
Last column: nearest neighbours and their distance in Å.
Fractional coordinates of all 10 atoms:
Rb1 0.0000 0.0000 0.0000  2 Rb 3.39
Rb2 0.5000 0.5000 0.0000  2 Rb 3.39
Cr1 0.0712 0.4288 0.0000  1 Cr 1.84
Cr2 0.4288 0.9288 0.0000  1 Cr 1.84
Cr3 0.5712 0.0712 0.0000  1 Cr 1.84
Cr4 0.9288 0.5712 0.0000  1 Cr 1.84
Bi1 0.1670 0.6670 0.5000  4 Cr 2.90
Bi2 0.3330 0.1670 0.5000  4 Cr 2.90
Bi3 0.6670 0.8330 0.5000  4 Cr 2.90
Bi4 0.8330 0.3330 0.5000  4 Cr 2.90



Stability ranking, top entry: entry B; the second entry is 0.027 eV/atom less favorable.



Entry A
Density functional theory data (PBE) for a relaxed RbCr2BiS crystal.

Output
D(E_F)	4.492	states/eV/cell
spin magnetization	8.00	μB per cell
space group	P4/mmm, No. 123

Cell: 5.2920 5.2920 6.9601 Å, 90.00 90.00 90.00°
Last column: nearest neighbours and their distance in Å.
Fractional coordinates of all 5 atoms:
Rb1 0.0000 0.0000 0.0000  2 Bi 3.48, 4 S 3.74
Cr1 0.0000 0.5000 0.5000  2 Bi 2.65
Cr2 0.5000 0.0000 0.5000  2 Bi 2.65
Bi1 0.0000 0.0000 0.5000  4 Cr 2.65
S1 0.5000 0.5000 0.0000  4 Rb 3.74



Entry B
Density functional theory data (PBE) for a relaxed RbCr2BiS crystal.

Output
D(E_F)	2.095	states/eV/cell
spin magnetization	9.71	μB per cell
space group	P4/mmm, No. 123

Cell: 5.3714 5.3714 5.8775 Å, 90.00 90.00 90.00°
Last column: nearest neighbours and their distance in Å.
Fractional coordinates of all 5 atoms:
Rb1 0.0000 0.0000 0.0000  4 S 3.80, 8 Cr 3.98
Cr1 0.0000 0.5000 0.5000  2 Bi 2.69
Cr2 0.5000 0.0000 0.5000  2 Bi 2.69
Bi1 0.5000 0.5000 0.5000  4 Cr 2.69, 2 S 2.94
S1 0.5000 0.5000 0.0000  2 Bi 2.94



Stability ranking, top entry: entry B; the second entry is 0.215 eV/atom less favorable.



Entry A
Density functional theory data (PBE) for a relaxed Cr2Re2Bi crystal.

Output
D(E_F)	3.820	states/eV/cell
spin magnetization	0.00	μB per cell
space group	I4/mmm, No. 139

Cell: 6.1846 6.1846 6.1846 Å, 142.33 142.33 54.34°
Last column: nearest neighbours and their distance in Å.
Fractional coordinates of all 5 atoms:
Cr1 0.1225 0.1225 0.0000  4 Re 2.44, 1 Cr 2.70
Cr2 0.8775 0.8775 0.0000  4 Re 2.44, 1 Cr 2.70
Re1 0.2500 0.7500 0.5000  4 Cr 2.44
Re2 0.7500 0.2500 0.5000  4 Cr 2.44
Bi1 0.5000 0.5000 0.0000  8 Cr 3.13, 8 Re 3.40



Entry B
Density functional theory data (PBE) for a relaxed Cr2Re2Bi crystal.

Output
D(E_F)	9.804	states/eV/cell
spin magnetization	0.00	μB per cell
space group	P4/mbm, No. 127

Cell: 7.4813 7.4813 2.8991 Å, 90.00 90.00 90.00°
Last column: nearest neighbours and their distance in Å.
Fractional coordinates of all 10 atoms:
Cr1 0.1361 0.3639 0.0000  6 Re 2.53-2.76
Cr2 0.3639 0.8639 0.0000  6 Re 2.53-2.76
Cr3 0.6361 0.1361 0.0000  6 Re 2.53-2.76
Cr4 0.8639 0.6361 0.0000  6 Re 2.53-2.76
Re1 0.1415 0.6415 0.5000  6 Cr 2.53-2.76
Re2 0.3585 0.1415 0.5000  6 Cr 2.53-2.76
Re3 0.6415 0.8585 0.5000  6 Cr 2.53-2.76
Re4 0.8585 0.3585 0.5000  6 Cr 2.53-2.76
Bi1 0.0000 0.0000 0.0000  2 Bi 2.90, 4 Cr 2.91, 8 Re 3.23
Bi2 0.5000 0.5000 0.0000  2 Bi 2.90, 4 Cr 2.91, 8 Re 3.23



Stability ranking, top entry: entry A; the second entry is 0.075 eV/atom less favorable.